Record 1
Y2SeF | PBE-GGA | optimized geometry

Cell and atoms, written as CIF:
```
data_Y2SeF
_symmetry_space_group_name_H-M 'P 1'
_symmetry_Int_Tables_number 1
_cell_length_a 6.813
_cell_length_b 6.813
_cell_length_c 6.813
_cell_angle_alpha 90.00
_cell_angle_beta 90.00
_cell_angle_gamma 90.00
loop_
_symmetry_equiv_pos_as_xyz
'x,y,z'
loop_
_atom_site_label
_atom_site_fract_x
_atom_site_fract_y
_atom_site_fract_z
Y1 0.250 0.250 0.250
Y2 0.250 0.250 0.750
Y3 0.250 0.750 0.250
Y4 0.250 0.750 0.750
Y5 0.750 0.250 0.250
Y6 0.750 0.250 0.750
Y7 0.750 0.750 0.250
Y8 0.750 0.750 0.750
Se1 0.000 0.000 0.000
Se2 0.000 0.500 0.500
Se3 0.500 0.000 0.500
Se4 0.500 0.500 0.000
F1 0.000 0.000 0.500
F2 0.000 0.500 0.000
F3 0.500 0.000 0.000
F4 0.500 0.500 0.500
```

Summary:
Its space-group type is No. 225. Its energy above the most stable polymorph in this dataset is 100 meV/atom. The crystal system is cubic. For the magnetic moment, the calculation gives 0.00 μB per formula unit. As for the density of states at the Fermi level: 4.25 states/eV/f.u. The formation energy (no corrections) is -1.59 eV per atom.

***

Record 2
ReSbRu | PBE-GGA | optimized geometry

Cell and atoms, written as CIF:
```
data_ReSbRu
_symmetry_space_group_name_H-M 'P 1'
_symmetry_Int_Tables_number 1
_cell_length_a 2.984
_cell_length_b 4.025
_cell_length_c 8.258
_cell_angle_alpha 90.00
_cell_angle_beta 90.00
_cell_angle_gamma 90.00
loop_
_symmetry_equiv_pos_as_xyz
'x,y,z'
loop_
_atom_site_label
_atom_site_fract_x
_atom_site_fract_y
_atom_site_fract_z
Re1 0.000 0.000 0.000
Re2 0.500 0.500 0.500
Sb1 0.000 0.000 0.325
Sb2 0.500 0.500 0.825
Ru1 0.000 0.000 0.649
Ru2 0.500 0.500 0.149
```

Summary:
Its space-group type is No. 44. Its energy above the most stable polymorph in this dataset is 145 meV/atom. The crystal system is orthorhombic. For the magnetic moment, the calculation gives 0.00 μB per formula unit. As for the density of states at the Fermi level: 2.60 states/eV/f.u. The formation energy (no corrections) is 0.48 eV per atom.

***

Record 3
CeHo4Er4 | PBE-GGA | optimized geometry

Cell and atoms, written as CIF:
```
data_CeHo4Er4
_symmetry_space_group_name_H-M 'P 1'
_symmetry_Int_Tables_number 1
_cell_length_a 7.859
_cell_length_b 7.859
_cell_length_c 7.859
_cell_angle_alpha 95.77
_cell_angle_beta 95.77
_cell_angle_gamma 143.03
loop_
_symmetry_equiv_pos_as_xyz
'x,y,z'
loop_
_atom_site_label
_atom_site_fract_x
_atom_site_fract_y
_atom_site_fract_z
Ce1 0.000 0.000 0.000
Ho1 0.000 0.333 0.333
Ho2 0.000 0.667 0.667
Ho3 0.333 0.000 0.333
Ho4 0.667 0.000 0.667
Er1 0.334 0.334 0.669
Er2 0.334 0.666 0.000
Er3 0.666 0.334 0.000
Er4 0.666 0.666 0.331
```

Summary:
Its space-group type is No. 139. The crystal system is tetragonal. For the magnetic moment, the calculation gives 1.11 μB per formula unit. As for the density of states at the Fermi level: 14.79 states/eV/f.u. For the energy of formation from the pure elements, the calculation gives 43 meV per atom.

***

Record 4
NaLa2TePb | PBE-GGA | optimized geometry

Cell and atoms, written as CIF:
```
data_NaLa2TePb
_symmetry_space_group_name_H-M 'P 1'
_symmetry_Int_Tables_number 1
_cell_length_a 6.045
_cell_length_b 6.045
_cell_length_c 6.062
_cell_angle_alpha 90.00
_cell_angle_beta 90.00
_cell_angle_gamma 90.00
loop_
_symmetry_equiv_pos_as_xyz
'x,y,z'
loop_
_atom_site_label
_atom_site_fract_x
_atom_site_fract_y
_atom_site_fract_z
Na1 0.000 0.000 0.000
La1 0.000 0.500 0.500
La2 0.500 0.000 0.500
Te1 0.500 0.500 0.500
Pb1 0.500 0.500 0.000
```

Summary:
Its space-group type is No. 123. The crystal system is tetragonal. For the magnetic moment, the calculation gives 0.00 μB per formula unit. As for the density of states at the Fermi level: 6.19 states/eV/f.u. The formation energy (no corrections) is -0.12 eV per atom.

***

Record 5
Th6CoI15 | PBE-GGA | optimized geometry

Cell and atoms, written as CIF:
```
data_Th6CoI15
_symmetry_space_group_name_H-M 'P 1'
_symmetry_Int_Tables_number 1
_cell_length_a 10.724
_cell_length_b 10.724
_cell_length_c 10.724
_cell_angle_alpha 109.47
_cell_angle_beta 109.47
_cell_angle_gamma 109.47
loop_
_symmetry_equiv_pos_as_xyz
'x,y,z'
loop_
_atom_site_label
_atom_site_fract_x
_atom_site_fract_y
_atom_site_fract_z
Th1 0.000 0.228 0.228
Th2 0.000 0.772 0.772
Th3 0.228 0.000 0.228
Th4 0.228 0.228 0.000
Th5 0.772 0.000 0.772
Th6 0.772 0.772 0.000
Co1 0.000 0.000 0.000
I1 0.000 0.253 0.747
I2 0.000 0.500 0.500
I3 0.000 0.747 0.253
I4 0.253 0.000 0.747
I5 0.253 0.253 0.505
I6 0.253 0.505 0.253
I7 0.253 0.747 0.000
I8 0.495 0.747 0.747
I9 0.500 0.000 0.500
I10 0.500 0.500 0.000
I11 0.505 0.253 0.253
I12 0.747 0.000 0.253
I13 0.747 0.253 0.000
I14 0.747 0.495 0.747
I15 0.747 0.747 0.495
```

Summary:
Its space-group type is No. 229. The crystal system is cubic. For the magnetic moment, the calculation gives 0.00 μB per formula unit. The formation energy (no corrections) is -1.11 eV per atom.

***

Record 6
SrZrGe3 | PBE-GGA | optimized geometry

Cell and atoms, written as CIF:
```
data_SrZrGe3
_symmetry_space_group_name_H-M 'P 1'
_symmetry_Int_Tables_number 1
_cell_length_a 5.271
_cell_length_b 5.271
_cell_length_c 5.271
_cell_angle_alpha 90.00
_cell_angle_beta 90.00
_cell_angle_gamma 90.00
loop_
_symmetry_equiv_pos_as_xyz
'x,y,z'
loop_
_atom_site_label
_atom_site_fract_x
_atom_site_fract_y
_atom_site_fract_z
Sr1 0.000 0.000 0.000
Zr1 0.500 0.500 0.500
Ge1 0.000 0.000 0.500
Ge2 0.000 0.500 0.000
Ge3 0.500 0.000 0.000
```

Summary:
Its space-group type is No. 221. The crystal system is cubic. For the magnetic moment, the calculation gives 0.00 μB per formula unit. As for the density of states at the Fermi level: 2.92 states/eV/f.u. For the energy of formation from the pure elements, the calculation gives 1262 meV per atom.

***

What are the DFT total energy values for these records? In order: -6.161; -8.138; -4.679; -3.729; -4.517; -3.555 eV/atom.